(1)
! PBE TbNd2DySe5, relaxed; values from VASP
! Space group ... P4/mmm (123)
&SYSTEM
  ibrav = 0, nat = 9, ntyp = 4
/
ATOMIC_SPECIES
Se 78.96 Se.upf
Nd 144.24 Nd.upf
Dy 162.50 Dy.upf
Tb 158.93 Tb.upf
CELL_PARAMETERS angstrom
-3.1543 -2.9317 2.8696
-1.6490 -2.4084 -4.2731
7.8157 -7.3219 1.1108
ATOMIC_POSITIONS angstrom
Se 1.9142 -1.7933 0.2721
Nd 2.8774 -7.6156 0.0485
Se 3.0833 -4.8652 -1.5812
Dy 0.0000 0.0000 0.0000
Se 2.3307 -5.1268 1.9902
Tb 3.9078 -3.6609 0.5554
Nd 0.1350 -5.0464 -0.3412
Se 5.9014 -5.5286 0.8387
Se -2.4016 -2.6701 -0.7017



(2)
! PBE TbNdDy2Se4, relaxed; values from VASP
! Space group ... P2/m (10)
&SYSTEM
  ibrav = 0, nat = 8, ntyp = 4
/
ATOMIC_SPECIES
Dy 162.50 Dy.upf
Se 78.96 Se.upf
Tb 158.93 Tb.upf
Nd 144.24 Nd.upf
CELL_PARAMETERS angstrom
4.0615 0.0000 0.0000
0.0000 7.1928 -0.1953
0.0000 2.4805 6.7034
ATOMIC_POSITIONS angstrom
Dy 0.0000 2.4805 6.7034
Se 2.0308 3.6068 4.9586
Dy 2.0308 1.2403 3.3517
Se 0.0001 7.3067 4.8204
Se 2.0308 6.0666 1.5495
Se 4.0615 2.3666 1.6877
Tb 0.0000 4.8366 3.2541
Nd 2.0308 3.5964 -0.0977



(3)
! PBE Tb3NdDy2Se6, relaxed; values from VASP
! Space group ... C2/m (12)
&SYSTEM
  ibrav = 0, nat = 12, ntyp = 4
/
ATOMIC_SPECIES
Se 78.96 Se.upf
Dy 162.50 Dy.upf
Tb 158.93 Tb.upf
Nd 144.24 Nd.upf
CELL_PARAMETERS angstrom
-6.8772 1.8615 -0.1423
2.0688 -6.3042 -2.5998
0.7292 -1.2986 6.9693
ATOMIC_POSITIONS angstrom
Se -1.4987 -5.6751 2.7353
Dy -3.8854 -0.8693 -0.9642
Tb -2.0396 -2.8706 2.1136
Tb 1.0004 -5.6455 1.2785
Se -2.5806 -0.0661 1.4919
Se -4.5690 -2.8726 3.5787
Se -3.3800 -3.6146 -0.2934
Se 0.4897 -2.8686 0.6485
Dy -0.9230 -3.5733 -1.7779
Tb -5.0797 -0.0957 2.9487
Se -0.6993 -2.1266 4.5206
Nd 0.0000 0.0000 0.0000



no.,D(E_F) (states/eV/f.u.),DFT total energy (eV/atom)
1,6.29,-5.26
2,4.77,-5.84
3,5.30,-5.84